Record 1
# Tb2Pr5Dy2 (GGA-PBE, optimized geometry)
data_Tb2Pr5Dy2
_cell_length_a 15.2794
_cell_length_b 12.9800
_cell_length_c 6.2813
_cell_angle_alpha 90.00
_cell_angle_beta 90.00
_cell_angle_gamma 90.00
_space_group_name_H-M_alt 'I m a 2'
_space_group_IT_number 46
_space_group_name_Hall 'I 2 -2a'
loop_
_atom_site_label
_atom_site_fract_x
_atom_site_fract_y
_atom_site_fract_z
Tb1 0.1351 0.0498 0.0000
Pr1 0.0493 0.6997 0.6549
Pr2 0.1438 0.1840 0.4958
Pr3 0.2500 0.6754 0.4061
Dy1 0.0000 0.0000 0.5629
Dy2 0.2500 0.5567 0.9307
# N(E_F)	47.71	states/eV/cell
# size of the total moment	0.0	μB/cell
# offset from the most stable computed form	151	meV per atom
# formation energy	169.3	meV per atom


Record 2
# Tb7Pr4Dy (GGA-PBE, optimized geometry)
data_Tb7Pr4Dy
_cell_length_a 6.5971
_cell_length_b 6.9033
_cell_length_c 9.1638
_cell_angle_alpha 85.33
_cell_angle_beta 77.44
_cell_angle_gamma 82.23
_space_group_name_H-M_alt 'P -1'
_space_group_IT_number 2
_space_group_name_Hall '-P 1'
loop_
_atom_site_label
_atom_site_fract_x
_atom_site_fract_y
_atom_site_fract_z
Tb1 0.0000 0.0000 0.0000
Tb2 0.1863 0.6062 0.3819
Tb3 0.3202 0.1971 0.6407
Tb4 0.4893 0.7471 0.0500
Pr1 0.1609 0.1149 0.3069
Pr2 0.3606 0.6893 0.7174
Dy1 0.0000 0.5000 0.0000
# N(E_F)	18.76	states/eV/cell
# size of the total moment	0.0	μB/cell
# offset from the most stable computed form	0	meV per atom
# formation energy	87.0	meV per atom


Record 3
# Tb2PrDy (GGA-PBE, optimized geometry)
data_Tb2PrDy
_cell_length_a 3.6086
_cell_length_b 3.6086
_cell_length_c 35.0149
_cell_angle_alpha 90.00
_cell_angle_beta 90.00
_cell_angle_gamma 120.00
_space_group_name_H-M_alt 'R 3 m'
_space_group_IT_number 160
_space_group_name_Hall 'R 3 -2"'
loop_
_atom_site_label
_atom_site_fract_x
_atom_site_fract_y
_atom_site_fract_z
Tb1 0.0000 0.0000 0.0000
Tb2 0.0000 0.0000 0.1705
Pr1 0.0000 0.0000 0.7515
Dy1 0.0000 0.0000 0.5853
# N(E_F)	16.98	states/eV/cell
# size of the total moment	0.0	μB/cell
# offset from the most stable computed form	1	meV per atom
# formation energy	18.5	meV per atom


Record 4
# Tb7Pr16Dy6 (GGA-PBE, optimized geometry)
data_Tb7Pr16Dy6
_cell_length_a 16.1093
_cell_length_b 16.1093
_cell_length_c 16.1093
_cell_angle_alpha 90.00
_cell_angle_beta 90.00
_cell_angle_gamma 90.00
_space_group_name_H-M_alt 'F m -3 m'
_space_group_IT_number 225
_space_group_name_Hall '-F 4 2 3'
loop_
_atom_site_label
_atom_site_fract_x
_atom_site_fract_y
_atom_site_fract_z
Tb1 0.0000 0.0000 0.0000
Tb2 0.0000 0.2500 0.2500
Pr1 0.1252 0.1252 0.1252
Pr2 0.1491 0.1491 0.3509
Dy1 0.0000 0.0000 0.2638
# N(E_F)	157.77	states/eV/cell
# size of the total moment	0.0	μB/cell
# formation energy	205.5	meV per atom


Record 5
# Tb6Pr3Dy (GGA-PBE, optimized geometry)
data_Tb6Pr3Dy
_cell_length_a 11.6313
_cell_length_b 6.6273
_cell_length_c 9.8316
_cell_angle_alpha 90.00
_cell_angle_beta 115.70
_cell_angle_gamma 90.00
_space_group_name_H-M_alt 'C 1 2/m 1'
_space_group_IT_number 12
_space_group_name_Hall '-C 2y'
loop_
_atom_site_label
_atom_site_fract_x
_atom_site_fract_y
_atom_site_fract_z
Tb1 0.1357 0.0000 0.4202
Tb2 0.1856 0.2440 0.8142
Pr1 0.0000 0.5000 0.5000
Pr2 0.0711 0.5000 0.2013
Dy1 0.0000 0.0000 0.0000
# N(E_F)	37.42	states/eV/cell
# size of the total moment	0.0	μB/cell
# offset from the most stable computed form	80	meV per atom
# formation energy	226.8	meV per atom


Record 6
# TbPr2Dy6 (GGA-PBE, optimized geometry)
data_TbPr2Dy6
_cell_length_a 14.2556
_cell_length_b 14.1432
_cell_length_c 6.4652
_cell_angle_alpha 90.00
_cell_angle_beta 114.81
_cell_angle_gamma 90.00
_space_group_name_H-M_alt 'C 1 2/c 1'
_space_group_IT_number 15
_space_group_name_Hall '-C 2yc'
loop_
_atom_site_label
_atom_site_fract_x
_atom_site_fract_y
_atom_site_fract_z
Tb1 0.0000 0.1332 0.2500
Pr1 0.1487 0.4613 0.4632
Dy1 0.0560 0.3141 0.0212
Dy2 0.1257 0.0709 0.9483
Dy3 0.2040 0.2402 0.6985
# N(E_F)	49.68	states/eV/cell
# size of the total moment	0.0	μB/cell
# offset from the most stable computed form	90	meV per atom
# formation energy	203.0	meV per atom


Record 7
# Tb4PrDy6 (GGA-PBE, optimized geometry)
data_Tb4PrDy6
_cell_length_a 7.6844
_cell_length_b 7.6844
_cell_length_c 12.9777
_cell_angle_alpha 90.00
_cell_angle_beta 90.00
_cell_angle_gamma 90.00
_space_group_name_H-M_alt 'I -4 2 m'
_space_group_IT_number 121
_space_group_name_Hall 'I -4 2'
loop_
_atom_site_label
_atom_site_fract_x
_atom_site_fract_y
_atom_site_fract_z
Tb1 0.1667 0.1667 0.4243
Pr1 0.0000 0.0000 0.0000
Dy1 0.0000 0.5000 0.0000
Dy2 0.2474 0.2474 0.1867
# N(E_F)	31.09	states/eV/cell
# size of the total moment	0.0	μB/cell
# offset from the most stable computed form	311	meV per atom
# formation energy	433.6	meV per atom


Record 8
# Tb3Pr2Dy (GGA-PBE, optimized geometry)
data_Tb3Pr2Dy
_cell_length_a 23.5196
_cell_length_b 3.5196
_cell_length_c 10.3417
_cell_angle_alpha 90.00
_cell_angle_beta 108.49
_cell_angle_gamma 90.00
_space_group_name_H-M_alt 'C 1 2/m 1'
_space_group_IT_number 12
_space_group_name_Hall '-C 2y'
loop_
_atom_site_label
_atom_site_fract_x
_atom_site_fract_y
_atom_site_fract_z
Tb1 0.0588 0.0000 0.4455
Tb2 0.0700 0.5000 0.7665
Tb3 0.1947 0.0000 0.7165
Pr1 0.0684 0.5000 0.1349
Pr2 0.1909 0.0000 0.3695
Dy1 0.1895 0.0000 0.0360
# N(E_F)	36.93	states/eV/cell
# size of the total moment	0.0	μB/cell
# offset from the most stable computed form	54	meV per atom
# formation energy	118.7	meV per atom


Record 9
# TbPr8Dy5 (GGA-PBE, optimized geometry)
data_TbPr8Dy5
_cell_length_a 9.7647
_cell_length_b 9.7647
_cell_length_c 10.3616
_cell_angle_alpha 90.00
_cell_angle_beta 90.00
_cell_angle_gamma 90.00
_space_group_name_H-M_alt 'I -4'
_space_group_IT_number 82
_space_group_name_Hall 'I -4'
loop_
_atom_site_label
_atom_site_fract_x
_atom_site_fract_y
_atom_site_fract_z
Tb1 0.0000 0.0000 0.0000
Pr1 0.0685 0.8276 0.6545
Pr2 0.0882 0.6800 0.9969
Dy1 0.0000 0.5000 0.7500
Dy2 0.1077 0.7038 0.3235
# N(E_F)	41.55	states/eV/cell
# size of the total moment	0.0	μB/cell
# formation energy	246.3	meV per atom


Record 10
# TbPr7Dy4 (GGA-PBE, optimized geometry)
data_TbPr7Dy4
_cell_length_a 16.2971
_cell_length_b 6.0573
_cell_length_c 9.4933
_cell_angle_alpha 90.00
_cell_angle_beta 116.39
_cell_angle_gamma 90.00
_space_group_name_H-M_alt 'C 1 2/m 1'
_space_group_IT_number 12
_space_group_name_Hall '-C 2y'
loop_
_atom_site_label
_atom_site_fract_x
_atom_site_fract_y
_atom_site_fract_z
Tb1 0.0000 0.0000 0.0000
Pr1 0.0000 0.5000 0.0000
Pr2 0.0848 0.0000 0.4464
Pr3 0.2111 0.0000 0.2346
Pr4 0.2105 0.0000 0.8822
Dy1 0.0708 0.5000 0.6973
Dy2 0.1709 0.5000 0.3853
# N(E_F)	39.26	states/eV/cell
# size of the total moment	0.0	μB/cell
# offset from the most stable computed form	199	meV per atom
# formation energy	209.2	meV per atom


Record 11
# Tb4Pr4Dy (GGA-PBE, optimized geometry)
data_Tb4Pr4Dy
_cell_length_a 10.8905
_cell_length_b 10.8905
_cell_length_c 5.1163
_cell_angle_alpha 90.00
_cell_angle_beta 90.00
_cell_angle_gamma 90.00
_space_group_name_H-M_alt 'I 4/m m m'
_space_group_IT_number 139
_space_group_name_Hall '-I 4 2'
loop_
_atom_site_label
_atom_site_fract_x
_atom_site_fract_y
_atom_site_fract_z
Tb1 0.0000 0.3350 0.0000
Pr1 0.1666 0.1666 0.5000
Dy1 0.0000 0.0000 0.0000
# N(E_F)	26.58	states/eV/cell
# size of the total moment	0.0	μB/cell
# formation energy	19.2	meV per atom


Record 12
# Tb3PrDy8 (GGA-PBE, optimized geometry)
data_Tb3PrDy8
_cell_length_a 6.4261
_cell_length_b 11.3106
_cell_length_c 11.4062
_cell_angle_alpha 90.00
_cell_angle_beta 90.00
_cell_angle_gamma 90.00
_space_group_name_H-M_alt 'I m m m'
_space_group_IT_number 71
_space_group_name_Hall '-I 2 2'
loop_
_atom_site_label
_atom_site_fract_x
_atom_site_fract_y
_atom_site_fract_z
Tb1 0.0000 0.0000 0.0000
Tb2 0.0000 0.5000 0.2558
Pr1 0.0000 0.0000 0.5000
Dy1 0.0000 0.1690 0.2494
Dy2 0.2470 0.2562 0.5000
# N(E_F)	28.98	states/eV/cell
# size of the total moment	0.0	μB/cell
# formation energy	320.3	meV per atom


Record 13
# Tb8PrDy3 (GGA-PBE, optimized geometry)
data_Tb8PrDy3
_cell_length_a 6.4510
_cell_length_b 11.3222
_cell_length_c 11.4288
_cell_angle_alpha 90.00
_cell_angle_beta 90.00
_cell_angle_gamma 90.00
_space_group_name_H-M_alt 'I m m m'
_space_group_IT_number 71
_space_group_name_Hall '-I 2 2'
loop_
_atom_site_label
_atom_site_fract_x
_atom_site_fract_y
_atom_site_fract_z
Tb1 0.0000 0.1683 0.2493
Tb2 0.2459 0.2576 0.5000
Pr1 0.0000 0.0000 0.5000
Dy1 0.0000 0.0000 0.0000
Dy2 0.0000 0.5000 0.2573
# N(E_F)	29.50	states/eV/cell
# size of the total moment	0.0	μB/cell
# formation energy	326.5	meV per atom


Record 14
# Tb2PrDy6 (GGA-PBE, optimized geometry)
data_Tb2PrDy6
_cell_length_a 11.5255
_cell_length_b 3.4492
_cell_length_c 15.2823
_cell_angle_alpha 90.00
_cell_angle_beta 100.40
_cell_angle_gamma 90.00
_space_group_name_H-M_alt 'C 1 2/m 1'
_space_group_IT_number 12
_space_group_name_Hall '-C 2y'
loop_
_atom_site_label
_atom_site_fract_x
_atom_site_fract_y
_atom_site_fract_z
Tb1 0.1670 0.0000 0.1660
Pr1 0.0000 0.5000 0.5000
Dy1 0.0409 0.5000 0.7327
Dy2 0.1263 0.0000 0.9380
Dy3 0.2068 0.0000 0.3945
# N(E_F)	40.51	states/eV/cell
# size of the total moment	0.0	μB/cell
# offset from the most stable computed form	0	meV per atom
# formation energy	199.8	meV per atom


Record 15
# Tb3Pr4Dy4 (GGA-PBE, optimized geometry)
data_Tb3Pr4Dy4
_cell_length_a 10.7519
_cell_length_b 5.7284
_cell_length_c 12.1054
_cell_angle_alpha 90.00
_cell_angle_beta 90.00
_cell_angle_gamma 90.00
_space_group_name_H-M_alt 'A m m 2'
_space_group_IT_number 38
_space_group_name_Hall 'A 2 -2'
loop_
_atom_site_label
_atom_site_fract_x
_atom_site_fract_y
_atom_site_fract_z
Tb1 0.0000 0.0000 0.0000
Tb2 0.2880 0.0000 0.1569
Pr1 0.0000 0.0000 0.7064
Pr2 0.2078 0.0000 0.5012
Pr3 0.5000 0.0000 0.6275
Dy1 0.0000 0.0000 0.2982
Dy2 0.3036 0.0000 0.8501
Dy3 0.5000 0.0000 0.3546
# N(E_F)	34.91	states/eV/cell
# size of the total moment	0.0	μB/cell
# offset from the most stable computed form	136	meV per atom
# formation energy	150.6	meV per atom


Record 16
# Tb6Pr4Dy (GGA-PBE, optimized geometry)
data_Tb6Pr4Dy
_cell_length_a 6.7244
_cell_length_b 6.7244
_cell_length_c 17.0153
_cell_angle_alpha 90.00
_cell_angle_beta 90.00
_cell_angle_gamma 90.00
_space_group_name_H-M_alt 'I -4 2 m'
_space_group_IT_number 121
_space_group_name_Hall 'I -4 2'
loop_
_atom_site_label
_atom_site_fract_x
_atom_site_fract_y
_atom_site_fract_z
Tb1 0.0000 0.5000 0.0000
Tb2 0.1767 0.1767 0.1224
Pr1 0.1905 0.1905 0.3239
Dy1 0.0000 0.0000 0.5000
# N(E_F)	29.87	states/eV/cell
# size of the total moment	0.0	μB/cell
# offset from the most stable computed form	0	meV per atom
# formation energy	290.6	meV per atom


Record 17
# TbPr5Dy6 (GGA-PBE, optimized geometry)
data_TbPr5Dy6
_cell_length_a 5.1320
_cell_length_b 10.1602
_cell_length_c 15.3728
_cell_angle_alpha 90.00
_cell_angle_beta 90.00
_cell_angle_gamma 90.00
_space_group_name_H-M_alt 'I m m m'
_space_group_IT_number 71
_space_group_name_Hall '-I 2 2'
loop_
_atom_site_label
_atom_site_fract_x
_atom_site_fract_y
_atom_site_fract_z
Tb1 0.0000 0.0000 0.0000
Pr1 0.0000 0.0000 0.3333
Pr2 0.0000 0.5000 0.0000
Pr3 0.0000 0.5000 0.3348
Dy1 0.0000 0.2490 0.1662
Dy2 0.0000 0.2517 0.5000
# N(E_F)	32.63	states/eV/cell
# size of the total moment	0.0	μB/cell
# formation energy	18.1	meV per atom


Record 18
# TbPr2Dy2 (GGA-PBE, optimized geometry)
data_TbPr2Dy2
_cell_length_a 6.9103
_cell_length_b 16.3205
_cell_length_c 6.2967
_cell_angle_alpha 90.00
_cell_angle_beta 90.00
_cell_angle_gamma 90.00
_space_group_name_H-M_alt 'C m c m'
_space_group_IT_number 63
_space_group_name_Hall '-C 2c 2'
loop_
_atom_site_label
_atom_site_fract_x
_atom_site_fract_y
_atom_site_fract_z
Tb1 0.0000 0.0000 0.0000
Pr1 0.0000 0.1704 0.2500
Pr2 0.0000 0.4002 0.7500
Dy1 0.2391 0.1698 0.7500
# N(E_F)	30.31	states/eV/cell
# size of the total moment	0.0	μB/cell
# offset from the most stable computed form	264	meV per atom
# formation energy	288.0	meV per atom


Record 19
# TbPr12Dy2 (GGA-PBE, optimized geometry)
data_TbPr12Dy2
_cell_length_a 7.2590
_cell_length_b 11.7386
_cell_length_c 25.2237
_cell_angle_alpha 90.00
_cell_angle_beta 90.00
_cell_angle_gamma 90.00
_space_group_name_H-M_alt 'C m m e'
_space_group_IT_number 67
_space_group_name_Hall '-C 2a 2'
loop_
_atom_site_label
_atom_site_fract_x
_atom_site_fract_y
_atom_site_fract_z
Tb1 0.0000 0.2500 0.0010
Pr1 0.0000 0.0022 0.9270
Pr2 0.0000 0.0244 0.4397
Pr3 0.2300 0.2500 0.5853
Pr4 0.2483 0.2500 0.1302
Pr5 0.2500 0.0000 0.1983
Pr6 0.2500 0.0000 0.3240
Dy1 0.0000 0.2500 0.2708
Dy2 0.0000 0.2500 0.7332
# N(E_F)	86.23	states/eV/cell
# size of the total moment	0.0	μB/cell
# formation energy	153.3	meV per atom